{
  "formula": "Mn2CuReH",
  "functional": "PBE",
  "state": "optimized geometry",
  "cell": [[-2.6307, -1.3349, 2.3477], [-0.2361, -3.1512, -2.0563], [2.5716, -1.5120, 2.0218]],
  "species": ["Re", "Mn", "Mn", "Cu", "H"],
  "frac_coords": [[0.5000, 0.5000, 0.5000], [0.0000, 0.5000, 0.0000], [0.5000, 0.0000, 0.0000], [0.0000, 0.0000, 0.5000], [0.0000, 0.0000, 0.0000]],
  "dos_at_fermi_per_ev_cell": 3.958,
  "final_energy_ev_per_atom": -7.430
}

=====

{
  "formula": "MnCuHRh2",
  "functional": "PBE",
  "state": "optimized geometry",
  "cell": [[-3.2198, 0.5091, -3.3432], [-2.1047, -0.8885, 1.8917], [-0.6768, 4.4258, 1.3257]],
  "species": ["H", "Mn", "Rh", "Rh", "Cu"],
  "frac_coords": [[0.0000, 0.5000, 0.0000], [0.0000, 0.0000, 0.0000], [0.0000, 0.0000, 0.5000], [0.5000, 0.0000, 0.0000], [0.5000, 0.5000, 0.5000]],
  "dos_at_fermi_per_ev_cell": 6.643,
  "final_energy_ev_per_atom": -5.627
}

=====

{
  "formula": "MnCuHRh2",
  "functional": "PBE",
  "state": "optimized geometry",
  "cell": [[3.9338, 0.0000, 0.0000], [0.0000, 3.9338, 0.0000], [0.0000, 0.0000, 3.6629]],
  "species": ["H", "Mn", "Rh", "Rh", "Cu"],
  "frac_coords": [[0.0000, 0.0000, 0.0000], [0.5000, 0.5000, 0.5000], [0.0000, 0.5000, 0.0000], [0.5000, 0.0000, 0.0000], [0.0000, 0.0000, 0.5000]],
  "dos_at_fermi_per_ev_cell": 3.363,
  "final_energy_ev_per_atom": -6.341
}

=====

{
  "formula": "Mn2CuHRh",
  "functional": "PBE",
  "state": "optimized geometry",
  "cell": [[-2.1888, -1.5969, -2.4198], [-1.7306, -1.7129, 2.6958], [-2.4554, 2.9316, 0.2864]],
  "species": ["H", "Mn", "Mn", "Rh", "Cu"],
  "frac_coords": [[0.0000, 0.0000, 0.0000], [0.0000, 0.5000, 0.0000], [0.5000, 0.0000, 0.0000], [0.0000, 0.0000, 0.5000], [0.5000, 0.5000, 0.5000]],
  "dos_at_fermi_per_ev_cell": 9.451,
  "final_energy_ev_per_atom": -6.394
}

=====

{
  "formula": "MnCu2HRh",
  "functional": "PBE",
  "state": "optimized geometry",
  "cell": [[3.7335, 0.0000, 0.0000], [0.0000, 3.7335, 0.0000], [0.0000, 0.0000, 3.8959]],
  "species": ["H", "Mn", "Rh", "Cu", "Cu"],
  "frac_coords": [[0.0000, 0.0000, 0.0000], [0.0000, 0.0000, 0.5000], [0.5000, 0.5000, 0.5000], [0.0000, 0.5000, 0.0000], [0.5000, 0.0000, 0.0000]],
  "dos_at_fermi_per_ev_cell": 2.467,
  "final_energy_ev_per_atom": -5.552
}

=====

{
  "formula": "MnCu2HRh",
  "functional": "PBE",
  "state": "optimized geometry",
  "cell": [[-2.2827, -2.8857, -1.0843], [3.0686, -2.2560, -0.4562], [-0.2906, -1.1239, 3.6031]],
  "species": ["H", "Mn", "Rh", "Cu", "Cu"],
  "frac_coords": [[0.0000, 0.0000, 0.0000], [0.5000, 0.5000, 0.5000], [0.0000, 0.0000, 0.5000], [0.0000, 0.5000, 0.0000], [0.5000, 0.0000, 0.0000]],
  "dos_at_fermi_per_ev_cell": 1.581,
  "final_energy_ev_per_atom": -5.632
}